Entry 1:
# AlSi2NiMo, relaxed, DFT PBE
data_AlSi2NiMo
_symmetry_space_group_name_H-M 'P 1'
_symmetry_Int_Tables_number 1
_cell_length_a 4.162
_cell_length_b 4.953
_cell_length_c 4.162
_cell_angle_alpha 90.00
_cell_angle_beta 90.00
_cell_angle_gamma 90.00
loop_
_symmetry_equiv_pos_as_xyz
'x,y,z'
loop_
_atom_site_label
_atom_site_type_symbol
_atom_site_fract_x
_atom_site_fract_y
_atom_site_fract_z
Ni1 Ni 0.000 0.000 0.000
Al1 Al 0.500 0.500 0.500
Mo1 Mo 0.000 0.500 0.000
Si1 Si 0.000 0.000 0.500
Si2 Si 0.500 0.000 0.000
# Crystal system: tetragonal
# Fermi-level density of states, states/eV/atom: 0.82
# E_form (uncorrected), eV/f.u.: 3.101
# Total energy, eV per atom: -5.620
# Density, g cm⁻³: 4.60

Entry 2:
# Ta2AlNiMo, relaxed, DFT PBE
data_Ta2AlNiMo
_symmetry_space_group_name_H-M 'P 1'
_symmetry_Int_Tables_number 1
_cell_length_a 4.609
_cell_length_b 4.193
_cell_length_c 4.609
_cell_angle_alpha 90.00
_cell_angle_beta 90.00
_cell_angle_gamma 90.00
loop_
_symmetry_equiv_pos_as_xyz
'x,y,z'
loop_
_atom_site_label
_atom_site_type_symbol
_atom_site_fract_x
_atom_site_fract_y
_atom_site_fract_z
Mo1 Mo 0.500 0.500 0.500
Ta1 Ta 0.500 0.000 0.000
Ta2 Ta 0.000 0.000 0.500
Al1 Al 0.000 0.500 0.000
Ni1 Ni 0.000 0.000 0.000
# Crystal system: tetragonal
# Fermi-level density of states, states/eV/atom: 0.70
# DFT formation energy, eV per atom: 0.669
# Total energy, eV per atom: -8.143
# Density, g cm⁻³: 10.13

Entry 3:
# TiAlNiMo, relaxed, DFT PBE
data_TiAlNiMo
_symmetry_space_group_name_H-M 'P 1'
_symmetry_Int_Tables_number 1
_cell_length_a 4.322
_cell_length_b 4.322
_cell_length_c 4.322
_cell_angle_alpha 60.00
_cell_angle_beta 60.00
_cell_angle_gamma 60.00
loop_
_symmetry_equiv_pos_as_xyz
'x,y,z'
loop_
_atom_site_label
_atom_site_type_symbol
_atom_site_fract_x
_atom_site_fract_y
_atom_site_fract_z
Ti1 Ti 0.000 0.000 0.000
Mo1 Mo 0.750 0.750 0.750
Ni1 Ni 0.250 0.250 0.250
Al1 Al 0.500 0.500 0.500
# Crystal system: cubic
# Fermi-level density of states, states/eV/atom: 1.58
# DFT formation energy, eV per atom: -0.226
# Total energy, eV per atom: -7.289
# Density, g cm⁻³: 6.67

Entry 4:
# Ti2Al5Ni2Mo, relaxed, DFT PBE
data_Ti2Al5Ni2Mo
_symmetry_space_group_name_H-M 'P 1'
_symmetry_Int_Tables_number 1
_cell_length_a 3.877
_cell_length_b 8.701
_cell_length_c 8.701
_cell_angle_alpha 90.00
_cell_angle_beta 90.00
_cell_angle_gamma 90.00
loop_
_symmetry_equiv_pos_as_xyz
'x,y,z'
loop_
_atom_site_label
_atom_site_type_symbol
_atom_site_fract_x
_atom_site_fract_y
_atom_site_fract_z
Ti1 Ti 0.000 0.673 0.173
Ti2 Ti 0.000 0.327 0.827
Ti3 Ti 0.000 0.827 0.673
Ti4 Ti 0.000 0.173 0.327
Al1 Al 0.500 0.500 0.000
Al2 Al 0.500 0.571 0.707
Al3 Al 0.500 0.793 0.929
Al4 Al 0.500 0.000 0.500
Al5 Al 0.500 0.929 0.207
Al6 Al 0.500 0.293 0.571
Al7 Al 0.500 0.429 0.293
Al8 Al 0.500 0.707 0.429
Al9 Al 0.500 0.207 0.071
Al10 Al 0.500 0.071 0.793
Mo1 Mo 0.000 0.500 0.500
Mo2 Mo 0.000 0.000 0.000
Ni1 Ni 0.000 0.877 0.377
Ni2 Ni 0.000 0.377 0.123
Ni3 Ni 0.000 0.123 0.623
Ni4 Ni 0.000 0.623 0.877
# Crystal system: tetragonal
# Fermi-level density of states, states/eV/atom: 0.91
# DFT formation energy, eV per atom: -0.408
# Total energy, eV per atom: -6.097
# Density, g cm⁻³: 5.02

Entry 5:
# AlVNiMo, relaxed, DFT PBE
data_AlVNiMo
_symmetry_space_group_name_H-M 'P 1'
_symmetry_Int_Tables_number 1
_cell_length_a 4.252
_cell_length_b 4.252
_cell_length_c 4.252
_cell_angle_alpha 60.00
_cell_angle_beta 60.00
_cell_angle_gamma 60.00
loop_
_symmetry_equiv_pos_as_xyz
'x,y,z'
loop_
_atom_site_label
_atom_site_type_symbol
_atom_site_fract_x
_atom_site_fract_y
_atom_site_fract_z
Mo1 Mo 0.750 0.750 0.750
Ni1 Ni 0.250 0.250 0.250
Al1 Al 0.500 0.500 0.500
V1 V 0.000 0.000 0.000
# Crystal system: cubic
# Fermi-level density of states, states/eV/atom: 0.58
# DFT formation energy, eV per atom: -0.180
# Total energy, eV per atom: -7.548
# Density, g cm⁻³: 7.10

Entry 6:
# NpAlMo, relaxed, DFT PBE
data_NpAlMo
_symmetry_space_group_name_H-M 'P 1'
_symmetry_Int_Tables_number 1
_cell_length_a 5.991
_cell_length_b 6.317
_cell_length_c 6.170
_cell_angle_alpha 90.00
_cell_angle_beta 104.90
_cell_angle_gamma 90.00
loop_
_symmetry_equiv_pos_as_xyz
'x,y,z'
loop_
_atom_site_label
_atom_site_type_symbol
_atom_site_fract_x
_atom_site_fract_y
_atom_site_fract_z
Mo1 Mo 0.970 0.022 0.741
Mo2 Mo 0.530 0.522 0.759
Mo3 Mo 0.030 0.978 0.259
Mo4 Mo 0.470 0.478 0.241
Al1 Al 0.153 0.344 0.468
Al2 Al 0.653 0.156 0.968
Al3 Al 0.847 0.656 0.532
Al4 Al 0.347 0.844 0.032
Np1 Np 0.877 0.637 0.056
Np2 Np 0.623 0.137 0.444
Np3 Np 0.377 0.863 0.556
Np4 Np 0.123 0.363 0.944
# Crystal system: monoclinic
# Fermi-level density of states, states/eV/atom: 1.50
# DFT formation energy, eV per atom: 0.259
# Total energy, eV per atom: -8.912
# Density, g cm⁻³: 10.59

no.,calculated volume (Å³/cell)
1,85.8
2,89.1
3,57.1
4,293.5
5,54.4
6,225.7